SrCo2Ir: optimized geometry, PBE-GGA.

Formation energy ... 0.458 eV/atom
Symmetry ... P2/m, No. 10

Cell lengths 2.8982, 4.1009, 6.2138 Å; angles 90.00, 102.63, 90.00 degrees
Last column: nearest neighbours and their distance in Å.
Sites, in units of the cell vectors:
Sr 0.0000 0.0000 0.0000  2 Sr 2.90, 2 Ir 3.11, 4 Co 3.15
Co 0.4102 0.5000 0.6647  1 Co 2.22, 2 Ir 2.48
Co 0.5898 0.5000 0.3353  1 Co 2.22, 2 Ir 2.48
Ir 0.0000 0.0000 0.5000  4 Co 2.48

=====

MgSc2: optimized geometry, PBE-GGA.

Formation energy ... -0.007 eV/atom
Symmetry ... C2/m, No. 12

Cell lengths 12.0395, 3.2648, 7.5658 Å; angles 90.00, 105.22, 90.00 degrees
Last column: nearest neighbours and their distance in Å.
Sites, in units of the cell vectors:
Mg 0.0282 0.0000 0.2981  9 Sc 3.17-3.33, 3 Mg 3.26-3.30
Mg 0.4718 0.5000 0.7019  9 Sc 3.17-3.33, 3 Mg 3.26-3.30
Mg 0.5282 0.5000 0.2981  9 Sc 3.17-3.33, 3 Mg 3.26-3.30
Mg 0.9718 0.0000 0.7019  9 Sc 3.17-3.33, 3 Mg 3.26-3.30
Sc 0.1436 0.5000 0.0337  4 Mg 3.17-3.24, 8 Sc 3.19-3.36
Sc 0.1868 0.5000 0.6313  5 Mg 3.18-3.33, 7 Sc 3.22-3.26
Sc 0.3132 0.0000 0.3687  5 Mg 3.18-3.33, 7 Sc 3.22-3.26
Sc 0.3564 0.0000 0.9663  4 Mg 3.17-3.24, 8 Sc 3.19-3.36
Sc 0.6436 0.0000 0.0337  4 Mg 3.17-3.24, 8 Sc 3.19-3.36
Sc 0.6868 0.0000 0.6313  5 Mg 3.18-3.33, 7 Sc 3.22-3.26
Sc 0.8132 0.5000 0.3687  5 Mg 3.18-3.33, 7 Sc 3.22-3.26
Sc 0.8564 0.5000 0.9663  4 Mg 3.17-3.24, 8 Sc 3.19-3.36